# 1
Below is an optimized crystal structure of Ta2InHgB, with properties calculated at the PBE level.

Computed properties:
Its magnetization is 0.000 μB per atom. The calculation puts the formation energy at 1.8642 eV/atom. The final energy is -4.82 eV per atom.

Cell and atoms, written as CIF:
```
data_Ta2InHgB
_chemical_formula_sum 'Ta2 In1 Hg1 B1'
_symmetry_space_group_name_H-M 'P 4/m m m'
_symmetry_Int_Tables_number 123
_symmetry_space_group_name_Hall '-P 4 2'
_cell_length_a 5.2589
_cell_length_b 5.2589
_cell_length_c 3.9401
_cell_angle_alpha 90.00
_cell_angle_beta 90.00
_cell_angle_gamma 90.00
loop_
_atom_site_label
_atom_site_fract_x
_atom_site_fract_y
_atom_site_fract_z
Ta1 0.0000 0.5000 0.0000
In1 0.0000 0.0000 0.5000
Hg1 0.5000 0.5000 0.0000
B1 0.5000 0.5000 0.5000
```


# 2
Below is an optimized crystal structure of InTcHgB2, with properties calculated at the PBE level.

Computed properties:
Its magnetization is 0.679 μB per atom. The calculation puts the formation energy at 2.1973 eV/atom. The final energy is -3.15 eV per atom.

Cell and atoms, written as CIF:
```
data_InTcHgB2
_chemical_formula_sum 'In1 Tc1 Hg1 B2'
_symmetry_space_group_name_H-M 'P 4/m m m'
_symmetry_Int_Tables_number 123
_symmetry_space_group_name_Hall '-P 4 2'
_cell_length_a 4.3496
_cell_length_b 4.3496
_cell_length_c 5.6080
_cell_angle_alpha 90.00
_cell_angle_beta 90.00
_cell_angle_gamma 90.00
loop_
_atom_site_label
_atom_site_fract_x
_atom_site_fract_y
_atom_site_fract_z
In1 0.0000 0.0000 0.0000
Tc1 0.5000 0.5000 0.5000
Hg1 0.0000 0.0000 0.5000
B1 0.0000 0.5000 0.0000
```


# 3
Below is an optimized crystal structure of TlIn2HgB, with properties calculated at the PBE level.

Computed properties:
Its magnetization is 0.000 μB per atom. The calculation puts the formation energy at 0.9259 eV/atom. The final energy is -2.04 eV per atom.

Cell and atoms, written as CIF:
```
data_TlIn2HgB
_chemical_formula_sum 'Tl1 In2 Hg1 B1'
_symmetry_space_group_name_H-M 'P 4/m m m'
_symmetry_Int_Tables_number 123
_symmetry_space_group_name_Hall '-P 4 2'
_cell_length_a 6.1605
_cell_length_b 6.1605
_cell_length_c 4.1604
_cell_angle_alpha 90.00
_cell_angle_beta 90.00
_cell_angle_gamma 90.00
loop_
_atom_site_label
_atom_site_fract_x
_atom_site_fract_y
_atom_site_fract_z
Tl1 0.0000 0.0000 0.0000
In1 0.0000 0.5000 0.0000
Hg1 0.5000 0.5000 0.5000
B1 0.0000 0.0000 0.5000
```


# 4
Below is an optimized crystal structure of HgB3Ir3, with properties calculated at the PBE level.

Computed properties:
Its magnetization is 0.000 μB per atom. The calculation puts the formation energy at 0.1555 eV/atom. The final energy is -6.55 eV per atom.

Cell and atoms, written as CIF:
```
data_HgB3Ir3
_chemical_formula_sum 'Hg2 B6 Ir6'
_symmetry_space_group_name_H-M 'P m -3 n'
_symmetry_Int_Tables_number 223
_symmetry_space_group_name_Hall '-P 4n 2 3'
_cell_length_a 5.8688
_cell_length_b 5.8688
_cell_length_c 5.8688
_cell_angle_alpha 90.00
_cell_angle_beta 90.00
_cell_angle_gamma 90.00
loop_
_atom_site_label
_atom_site_fract_x
_atom_site_fract_y
_atom_site_fract_z
Hg1 0.0000 0.0000 0.0000
B1 0.0000 0.2500 0.5000
Ir1 0.0000 0.5000 0.2500
```